Below is a geometry-optimized Ce3Re4C4 structure, with properties calculated at the GGA-PBE level.

## Properties
Its space group is Amm2 (38). As for the calculated formation energy: 0.882 eV per formula unit. The calculation puts the total DFT energy (no corrections) at -9.4188 eV/atom. The crystal system is orthorhombic.

Unit cell a=8.6839 b=6.2994 c=6.2994 alpha=27.92 beta=90.00 gamma=90.00
With the nearest neighbours (Å) after each atom.
Positions (direct):
Ce1 0.0000 0.0000 0.0000  2 C 2.39
Ce2 0.3408 0.1171 0.1171  4 C 2.57-2.81, 1 Ce 2.77
Ce3 0.6592 0.1171 0.1171  4 C 2.57-2.81, 1 Ce 2.77
Re1 0.0000 0.2571 0.2571  2 C 2.00
Re2 0.2477 0.8388 0.8388  3 C 2.10-2.33
Re3 0.5000 0.3939 0.3939  4 C 2.11-2.17
Re4 0.7523 0.8388 0.8388  3 C 2.10-2.33
C1 0.0000 0.6506 0.6506  2 Re 2.00
C2 0.2662 0.4563 0.4563  3 Re 2.10-2.17
C3 0.5000 0.7743 0.7743  4 Re 2.11-2.33
C4 0.7338 0.4563 0.4563  3 Re 2.10-2.17